#P
DFT (PBE) results for a relaxed structure of LiZrAg3S4.

Summary:
- spin magnetization (μB per cell) = 0.00

Structure (POSCAR):
```
LiZrAg3S4
1.0
-2.206 5.422 2.243
-3.516 -3.904 5.980
7.500 0.282 4.593
Ag S Zr Li
6 8 2 2
Direct
0.224 0.458 0.460
0.224 0.042 0.460
0.776 0.542 0.540
0.776 0.958 0.540
0.860 0.750 0.817
0.140 0.250 0.183
0.458 0.250 0.050
0.907 0.002 0.258
0.542 0.750 0.950
0.537 0.250 0.542
0.907 0.498 0.258
0.093 0.502 0.742
0.463 0.750 0.458
0.093 0.998 0.742
0.678 0.250 0.282
0.322 0.750 0.718
0.326 0.250 0.787
0.674 0.750 0.213
```

#Q
DFT (PBE) results for a relaxed structure of LiZrAg3S4.

Summary:
- spin magnetization (μB per cell) = 0.00

Structure (POSCAR):
```
LiZrAg3S4
1.0
-2.638 5.383 0.571
-3.346 -1.122 -4.880
-4.256 -2.455 3.482
S Zr Ag Li
4 1 3 1
Direct
0.263 0.737 0.737
0.263 0.263 0.263
0.737 0.263 0.737
0.737 0.737 0.263
0.500 0.500 0.500
0.500 0.000 0.500
0.000 0.500 0.500
0.500 0.500 0.000
0.000 0.000 0.000
```

Q: Which of them is the least stable? A: #P.

#P
DFT (PBE) results for a relaxed structure of LiZrAgSe3.

Summary:
- spin magnetization (μB per cell) = 0.02

Structure (POSCAR):
```
LiZrAgSe3
1.0
-6.723 -9.006 0.005
2.816 -2.101 1.579
-4.138 3.096 11.500
Se Zr Li Ag
12 4 4 4
Direct
0.650 0.500 0.551
0.917 0.500 0.430
0.625 0.000 0.262
0.125 0.500 0.238
0.583 0.500 0.930
0.875 0.000 0.762
0.850 0.500 0.051
0.417 0.000 0.070
0.150 0.000 0.949
0.375 0.500 0.738
0.083 0.000 0.570
0.350 0.000 0.449
0.829 0.000 0.563
0.329 0.500 0.937
0.671 0.000 0.063
0.171 0.500 0.437
0.510 0.500 0.369
0.490 0.000 0.631
0.010 0.000 0.131
0.990 0.500 0.869
0.707 0.500 0.755
0.793 0.500 0.255
0.207 0.000 0.745
0.293 0.000 0.245
```

#Q
DFT (PBE) results for a relaxed structure of LiZrAgSe3.

Summary:
- spin magnetization (μB per cell) = 0.03

Structure (POSCAR):
```
LiZrAgSe3
1.0
-3.634 -0.673 -5.746
1.066 -2.112 6.410
-6.814 7.110 3.476
Se Zr Li Ag
6 2 2 2
Direct
0.397 0.603 0.750
0.857 0.143 0.048
0.857 0.143 0.452
0.143 0.857 0.952
0.143 0.857 0.548
0.603 0.397 0.250
0.500 0.500 0.000
0.500 0.500 0.500
0.271 0.729 0.250
0.729 0.271 0.750
0.033 0.967 0.750
0.967 0.033 0.250
```

Q: Which of them is the least stable? A: #Q.

#P
DFT (PBE) results for a relaxed structure of LiSiAgSn.

Structure (POSCAR):
```
LiSiAgSn
1.0
0.000 3.353 3.353
3.353 0.000 3.353
3.353 3.353 0.000
Si Li Sn Ag
1 1 1 1
Direct
0.250 0.250 0.250
0.750 0.750 0.750
0.000 0.000 0.000
0.500 0.500 0.500
```

#Q
DFT (PBE) results for a relaxed structure of LiSiAgSn.

Structure (POSCAR):
```
LiSiAgSn
1.0
0.000 3.356 3.356
3.356 0.000 3.356
3.356 3.356 0.000
Ag Si Li Sn
1 1 1 1
Direct
0.250 0.250 0.250
0.500 0.500 0.500
0.750 0.750 0.750
0.000 0.000 0.000
```

Q: Which of them is the least stable? A: #Q.

#P
DFT (PBE) results for a relaxed structure of LiZnSiAg.

Structure (POSCAR):
```
LiZnSiAg
1.0
-0.292 0.812 4.340
-3.933 -0.163 2.021
-0.908 -3.294 2.811
Zn Si Li Ag
1 1 1 1
Direct
0.500 0.500 0.500
0.000 0.000 0.000
0.750 0.750 0.750
0.250 0.250 0.250
```

#Q
DFT (PBE) results for a relaxed structure of LiZnSiAg.

Structure (POSCAR):
```
LiZnSiAg
1.0
-1.876 -3.802 1.204
-1.940 -0.348 3.941
-4.388 -0.302 0.277
Zn Li Ag Si
1 1 1 1
Direct
0.000 0.000 0.000
0.750 0.750 0.750
0.500 0.500 0.500
0.250 0.250 0.250
```

Q: Which of them is the least stable? A: #P.

#P
DFT (PBE) results for a relaxed structure of LiZrAgTe3.

Summary:
- spin magnetization (μB per cell) = 0.01

Structure (POSCAR):
```
LiZrAgTe3
1.0
8.051 0.000 0.000
0.000 4.100 0.000
-2.387 0.000 9.730
Te Zr Li Ag
6 2 2 2
Direct
0.085 0.250 0.365
0.915 0.750 0.635
0.204 0.250 0.973
0.796 0.750 0.027
0.574 0.250 0.365
0.426 0.750 0.635
0.190 0.250 0.682
0.810 0.750 0.318
0.238 0.750 0.202
0.762 0.250 0.798
0.584 0.250 0.094
0.416 0.750 0.906
```

#Q
DFT (PBE) results for a relaxed structure of LiZrAgTe3.

Summary:
- spin magnetization (μB per cell) = 0.01

Structure (POSCAR):
```
LiZrAgTe3
1.0
-1.170 0.476 -3.909
-11.130 -3.912 2.856
-3.693 12.415 2.616
Ag Te Zr Li
4 12 4 4
Direct
0.250 0.792 0.247
0.750 0.292 0.253
0.750 0.208 0.753
0.250 0.708 0.747
0.250 0.581 0.924
0.750 0.081 0.576
0.750 0.419 0.076
0.250 0.849 0.043
0.250 0.366 0.729
0.250 0.919 0.424
0.750 0.349 0.457
0.750 0.866 0.771
0.750 0.634 0.271
0.250 0.134 0.229
0.250 0.651 0.543
0.750 0.151 0.957
0.250 0.328 0.936
0.250 0.172 0.436
0.750 0.828 0.564
0.750 0.672 0.064
0.250 0.014 0.854
0.750 0.986 0.146
0.750 0.514 0.646
0.250 0.486 0.354
```

Q: Which of them is the least stable? A: #Q.

#P
DFT (PBE) results for a relaxed structure of LiZrAg3Te4.

Summary:
- spin magnetization (μB per cell) = 0.00

Structure (POSCAR):
```
LiZrAg3Te4
1.0
-4.071 5.116 -0.815
-6.729 -5.613 -1.618
-1.583 -0.678 8.934
Ag Li Te Zr
6 2 8 2
Direct
0.282 0.506 0.493
0.718 0.494 0.507
0.772 0.250 0.739
0.282 0.994 0.493
0.228 0.750 0.261
0.718 0.006 0.507
0.769 0.250 0.198
0.231 0.750 0.802
0.493 0.005 0.227
0.984 0.750 0.524
0.507 0.995 0.773
0.507 0.505 0.773
0.048 0.250 0.987
0.493 0.495 0.227
0.952 0.750 0.013
0.016 0.250 0.476
0.258 0.250 0.746
0.742 0.750 0.254
```

#Q
DFT (PBE) results for a relaxed structure of LiZrAg3Te4.

Summary:
- spin magnetization (μB per cell) = 0.00

Structure (POSCAR):
```
LiZrAg3Te4
1.0
6.521 0.000 0.000
0.000 6.521 0.000
0.000 0.000 6.521
Te Ag Li Zr
4 3 1 1
Direct
0.748 0.252 0.748
0.252 0.252 0.252
0.252 0.748 0.748
0.748 0.748 0.252
0.000 0.500 0.500
0.500 0.500 0.000
0.500 0.000 0.500
0.000 0.000 0.000
0.500 0.500 0.500
```

Q: Which of them is the least stable? A: #P.

#P
DFT (PBE) results for a relaxed structure of LiUAg.

Summary:
- spin magnetization (μB per cell) = 4.30

Structure (POSCAR):
```
LiUAg
1.0
3.697 2.100 1.718
-0.230 2.068 4.086
2.189 -1.797 3.606
Li U Ag
1 1 1
Direct
0.750 0.750 0.750
0.500 0.500 0.500
0.000 0.000 0.000
```

#Q
DFT (PBE) results for a relaxed structure of LiUAg.

Summary:
- spin magnetization (μB per cell) = 3.89

Structure (POSCAR):
```
LiUAg
1.0
0.000 3.442 3.442
3.442 0.000 3.442
3.442 3.442 0.000
U Li Ag
1 1 1
Direct
0.000 0.000 0.000
0.750 0.750 0.750
0.250 0.250 0.250
```

Q: Which of them is the least stable? A: #Q.

#P
DFT (PBE) results for a relaxed structure of LuNbAg.

Summary:
- spin magnetization (μB per cell) = 1.19

Structure (POSCAR):
```
LuNbAg
1.0
-3.338 -3.146 0.783
-3.044 0.649 3.459
-4.435 1.024 -0.965
Ag Nb Lu
1 1 1
Direct
0.000 0.000 0.000
0.750 0.750 0.750
0.250 0.250 0.250
```

#Q
DFT (PBE) results for a relaxed structure of LuNbAg.

Summary:
- spin magnetization (μB per cell) = 2.96

Structure (POSCAR):
```
LuNbAg
1.0
-4.566 0.029 -1.212
-3.080 2.604 2.460
-1.905 3.865 -1.938
Ag Lu Nb
1 1 1
Direct
0.250 0.250 0.250
0.000 0.000 0.000
0.750 0.750 0.750
```

Q: Which of them is the least stable? A: #Q.

#P
DFT (PBE) results for a relaxed structure of LuAgPbS3.

Summary:
- spin magnetization (μB per cell) = 0.00

Structure (POSCAR):
```
LuAgPbS3
1.0
7.482 0.000 0.000
0.000 3.972 0.000
-2.652 0.000 9.284
Lu Ag Pb S
2 2 2 6
Direct
0.194 0.250 0.153
0.806 0.750 0.847
0.599 0.250 0.595
0.401 0.750 0.405
0.232 0.750 0.702
0.768 0.250 0.298
0.202 0.250 0.448
0.064 0.250 0.867
0.936 0.750 0.133
0.563 0.250 0.845
0.437 0.750 0.155
0.798 0.750 0.552
```

#Q
DFT (PBE) results for a relaxed structure of LuAgPbS3.

Summary:
- spin magnetization (μB per cell) = 0.00

Structure (POSCAR):
```
LuAgPbS3
1.0
8.598 -1.952 0.000
8.598 1.952 0.000
-1.960 0.000 8.147
Lu S Ag Pb
2 6 2 2
Direct
0.164 0.164 0.585
0.836 0.836 0.415
0.682 0.682 0.812
0.326 0.326 0.635
0.000 0.000 0.500
0.318 0.318 0.188
0.674 0.674 0.365
0.500 0.500 0.000
0.524 0.524 0.714
0.476 0.476 0.286
0.866 0.866 0.927
0.134 0.134 0.073
```

Q: Which of them is the least stable? A: #P.

#P
DFT (PBE) results for a relaxed structure of LuAgPbS3.

Summary:
- spin magnetization (μB per cell) = 0.01

Structure (POSCAR):
```
LuAgPbS3
1.0
6.585 -1.988 0.000
6.585 1.988 0.000
0.000 0.000 10.266
Lu S Pb Ag
2 6 2 2
Direct
0.000 0.000 0.000
0.000 0.000 0.500
0.638 0.638 0.956
0.638 0.638 0.544
0.362 0.362 0.456
0.362 0.362 0.044
0.084 0.084 0.250
0.916 0.916 0.750
0.746 0.746 0.250
0.254 0.254 0.750
0.458 0.458 0.250
0.542 0.542 0.750
```

#Q
DFT (PBE) results for a relaxed structure of LuAgPbS3.

Summary:
- spin magnetization (μB per cell) = 0.00

Structure (POSCAR):
```
LuAgPbS3
1.0
4.001 0.000 0.000
0.000 11.753 0.000
0.000 0.000 11.931
S Pb Ag Lu
12 4 4 4
Direct
0.250 0.831 0.030
0.750 0.433 0.085
0.750 0.331 0.470
0.250 0.933 0.415
0.250 0.567 0.915
0.250 0.669 0.530
0.750 0.169 0.970
0.250 0.171 0.248
0.250 0.329 0.748
0.750 0.671 0.252
0.750 0.829 0.752
0.750 0.067 0.585
0.250 0.975 0.839
0.250 0.525 0.339
0.750 0.025 0.161
0.750 0.475 0.661
0.250 0.679 0.742
0.750 0.179 0.758
0.750 0.321 0.258
0.250 0.821 0.242
0.750 0.663 0.029
0.750 0.837 0.529
0.250 0.337 0.971
0.250 0.163 0.471
```

Q: Which of them is the least stable? A: #Q.